[1]
First-principles (PBE) data for crystalline RbReIr2 at its relaxed geometry, as listed in Alexandria. Values from VASP.

Computed properties:
As for the volume: 17.82 Å³ per atom. The total energy comes out at -6.15 eV/atom. Its space group is Fm-3m (225). The value obtained for the formation energy is 1.64 eV per atom.

Quantum ESPRESSO input file:
```
&SYSTEM
  ibrav = 0, nat = 4, ntyp = 3
/
ATOMIC_SPECIES
Rb 85.47 Rb.upf
Re 186.21 Re.upf
Ir 192.22 Ir.upf
CELL_PARAMETERS angstrom
0.000 3.291 3.291
3.291 0.000 3.291
3.291 3.291 0.000
ATOMIC_POSITIONS angstrom
Rb 0.000 0.000 0.000
Re 3.291 3.291 3.291
Ir 1.646 1.646 1.646
Ir 4.937 4.937 4.937
```



[2]
First-principles (PBE) data for crystalline EuHoCdIr at its relaxed geometry, as listed in Alexandria. Values from VASP.

Computed properties:
As for the volume: 23.38 Å³ per atom. The total energy comes out at -6.53 eV/atom. Its space group is F-43m (216). The value obtained for the formation energy is -0.38 eV per atom.

Quantum ESPRESSO input file:
```
&SYSTEM
  ibrav = 0, nat = 4, ntyp = 4
/
ATOMIC_SPECIES
Eu 151.96 Eu.upf
Ho 164.93 Ho.upf
Cd 112.41 Cd.upf
Ir 192.22 Ir.upf
CELL_PARAMETERS angstrom
0.000 3.603 3.603
3.603 0.000 3.603
3.603 3.603 0.000
ATOMIC_POSITIONS angstrom
Eu 0.000 0.000 0.000
Ho 3.603 3.603 3.603
Cd 5.404 5.404 5.404
Ir 1.801 1.801 1.801
```



[3]
First-principles (PBE) data for crystalline CsBaU4N8 at its relaxed geometry, as listed in Alexandria. Values from VASP.

Computed properties:
As for the volume: 21.08 Å³ per atom. The total energy comes out at -9.29 eV/atom. Its space group is R3m (160). Its raw formation energy is -106.6 kJ/mol of atoms.

Quantum ESPRESSO input file:
```
&SYSTEM
  ibrav = 0, nat = 14, ntyp = 4
/
ATOMIC_SPECIES
Cs 132.91 Cs.upf
Ba 137.33 Ba.upf
U 238.03 U.upf
N 14.01 N.upf
CELL_PARAMETERS angstrom
3.510 2.027 6.914
-3.510 2.027 6.914
0.000 -4.053 6.914
ATOMIC_POSITIONS angstrom
Cs 0.000 0.000 0.000
Ba 0.000 0.000 13.343
U -1.748 -1.009 10.110
U 0.000 0.000 3.539
U 1.748 -1.009 10.110
U 0.000 2.018 10.110
N 0.000 -1.897 11.250
N -1.643 0.949 11.250
N -1.797 -1.037 16.172
N 0.000 0.000 9.215
N 1.643 0.949 11.250
N 0.000 0.000 17.892
N 1.797 -1.037 16.172
N 0.000 2.075 16.172
```



[4]
First-principles (PBE) data for crystalline BaAc8Pt5 at its relaxed geometry, as listed in Alexandria. Values from VASP.

Computed properties:
As for the volume: 39.17 Å³ per atom. The total energy comes out at -5.50 eV/atom. Its space group is C2/m (12). The value obtained for the formation energy is -0.86 eV per atom.

Quantum ESPRESSO input file:
```
&SYSTEM
  ibrav = 0, nat = 14, ntyp = 3
/
ATOMIC_SPECIES
Ba 137.33 Ba.upf
Ac 227.00 Ac.upf
Pt 195.08 Pt.upf
CELL_PARAMETERS angstrom
11.468 -2.239 0.000
11.468 2.239 0.000
-2.500 0.000 10.678
ATOMIC_POSITIONS angstrom
Ba 0.000 0.000 0.000
Ac 0.056 0.000 6.986
Ac 5.162 0.000 3.641
Ac 7.435 0.000 0.092
Ac 7.677 0.000 6.994
Ac 12.760 0.000 3.684
Ac 13.002 0.000 10.585
Ac 15.275 0.000 7.037
Ac 20.381 0.000 3.692
Pt 2.552 0.000 5.268
Pt 2.586 0.000 8.859
Pt 10.219 0.000 5.339
Pt 17.851 0.000 1.819
Pt 17.885 0.000 5.410
```



[5]
First-principles (PBE) data for crystalline V4Ir2Pt5 at its relaxed geometry, as listed in Alexandria. Values from VASP.

Computed properties:
As for the volume: 15.50 Å³ per atom. The total energy comes out at -7.78 eV/atom. Its space group is C2/m (12). The value obtained for the formation energy is -0.11 eV per atom.

Quantum ESPRESSO input file:
```
&SYSTEM
  ibrav = 0, nat = 11, ntyp = 3
/
ATOMIC_SPECIES
V 50.94 V.upf
Ir 192.22 Ir.upf
Pt 195.08 Pt.upf
CELL_PARAMETERS angstrom
9.037 -1.361 0.000
9.037 1.361 0.000
-0.711 0.000 6.929
ATOMIC_POSITIONS angstrom
V 1.514 0.000 1.615
V 2.202 0.000 4.418
V 15.161 0.000 2.512
V 15.849 0.000 5.314
Ir 3.917 0.000 2.377
Ir 13.446 0.000 4.552
Pt -0.356 0.000 3.465
Pt 0.266 0.000 6.017
Pt 5.774 0.000 0.052
Pt 11.589 0.000 6.877
Pt 17.097 0.000 0.912
```



[6]
First-principles (PBE) data for crystalline TiCuSiNi at its relaxed geometry, as listed in Alexandria. Values from VASP.

Computed properties:
As for the volume: 12.59 Å³ per atom. The total energy comes out at -6.21 eV/atom. Its space group is F-43m (216). Its raw formation energy is -39.6 kJ/mol of atoms.

Quantum ESPRESSO input file:
```
&SYSTEM
  ibrav = 0, nat = 4, ntyp = 4
/
ATOMIC_SPECIES
Ti 47.87 Ti.upf
Cu 63.55 Cu.upf
Si 28.09 Si.upf
Ni 58.69 Ni.upf
CELL_PARAMETERS angstrom
0.000 2.931 2.931
2.931 0.000 2.931
2.931 2.931 0.000
ATOMIC_POSITIONS angstrom
Ti 0.000 0.000 0.000
Cu 1.466 1.466 1.466
Si 2.931 2.931 2.931
Ni 4.397 4.397 4.397
```



[7]
First-principles (PBE) data for crystalline TbDyCd at its relaxed geometry, as listed in Alexandria. Values from VASP.

Computed properties:
As for the volume: 35.21 Å³ per atom. The total energy comes out at -3.09 eV/atom. Its space group is Cmmm (65). The value obtained for the formation energy is 0.30 eV per atom.

Quantum ESPRESSO input file:
```
&SYSTEM
  ibrav = 0, nat = 6, ntyp = 3
/
ATOMIC_SPECIES
Tb 158.93 Tb.upf
Dy 162.50 Dy.upf
Cd 112.41 Cd.upf
CELL_PARAMETERS angstrom
5.387 -5.421 0.000
5.387 5.421 0.000
0.000 0.000 3.616
ATOMIC_POSITIONS angstrom
Tb 5.387 2.984 0.000
Tb 5.387 -2.984 0.000
Dy 2.967 0.000 1.808
Dy 7.807 0.000 1.808
Cd 0.000 0.000 1.808
Cd 5.387 0.000 0.000
```



[8]
First-principles (PBE) data for crystalline Sr2ScF2 at its relaxed geometry, as listed in Alexandria. Values from VASP.

Computed properties:
As for the volume: 29.49 Å³ per atom. The total energy comes out at -4.16 eV/atom. Its space group is P4/mbm (127). Its raw formation energy is -141.6 kJ/mol of atoms.

Quantum ESPRESSO input file:
```
&SYSTEM
  ibrav = 0, nat = 10, ntyp = 3
/
ATOMIC_SPECIES
Sr 87.62 Sr.upf
Sc 44.96 Sc.upf
F 19.00 F.upf
CELL_PARAMETERS angstrom
9.481 0.000 0.000
0.000 9.481 0.000
0.000 0.000 3.281
ATOMIC_POSITIONS angstrom
Sr 1.159 3.581 0.000
Sr 3.581 8.322 0.000
Sr 5.899 1.159 0.000
Sr 8.322 5.899 0.000
Sc 0.000 0.000 0.000
Sc 4.740 4.740 0.000
F 0.842 5.582 1.640
F 3.899 0.842 1.640
F 5.582 8.639 1.640
F 8.639 3.899 1.640
```



Size of the total moment readings, ordered: 0.00, 6.86, 3.08, 0.00, 0.18, 0.00, 0.00, 5.11 μB/cell